Er4Bi2B: optimized geometry, PBE.

a = 7.803 Å, b = 11.980 Å, c = 4.193 Å
α = 90.00°, β = 90.00°, γ = 90.00°
Space group Pbam (No. 55)
One atom of each set of equivalent atoms:
Er 0.133 0.191 0.000
Er 0.190 0.943 0.500
Bi 0.071 0.667 0.500
B 0.000 0.000 0.000

Summary:
Final energy (eV/atom): -5.197
Magnetization (μB/cell): 0.09
DOS at the Fermi energy (states/eV/cell): 10.65